# 1
## Al2SiPb (PBE)

Data for a relaxed Al2SiPb crystal.

Cell: 6.702 3.841 7.181 Å, 90.00 107.49 90.00°
Space group C2/m (No. 12)
One atom of each set of equivalent atoms:
Al 0.226 0.000 0.181
Si 0.000 0.500 0.000
Pb 0.000 0.000 0.500

Results
The calculation puts the energy relative to the elements, uncorrected at 197 meV per atom. The density is 5.4 g/cm3. The distance to the lowest polymorph of the same formula comes out at 0.0000 eV/atom.

# 2
## Al2SiPb (PBE)

Data for a relaxed Al2SiPb crystal.

Cell: 5.886 10.233 3.187 Å, 90.00 119.22 90.00°
Space group C2/m (No. 12)
One atom of each set of equivalent atoms:
Al 0.250 0.250 0.000
Si 0.000 0.000 0.500
Pb 0.000 0.500 0.500

Results
The calculation puts the energy relative to the elements, uncorrected at 444 meV per atom. The density is 5.7 g/cm3. The distance to the lowest polymorph of the same formula comes out at 0.2463 eV/atom.

# 3
## AlSi2Pb (PBE)

Data for a relaxed AlSi2Pb crystal.

Cell: 3.302 3.330 7.309 Å, 90.00 90.00 90.00°
Space group Pmm2 (No. 25)
One atom of each set of equivalent atoms:
Al 0.000 0.000 0.000
Si 0.000 0.000 0.646
Si 0.500 0.500 0.789
Pb 0.500 0.500 0.313

Results
The calculation puts the energy relative to the elements, uncorrected at 330 meV per atom. The density is 6.0 g/cm3. The distance to the lowest polymorph of the same formula comes out at 0.0656 eV/atom.

# 4
## AlSi2Pb (PBE)

Data for a relaxed AlSi2Pb crystal.

Cell: 3.7256 3.7256 21.4219 Å, 90.00 90.00 120.00°
Space group R3m (No. 160, hexagonal axes)
One atom of each set of equivalent atoms:
Al 0.0000 0.0000 0.0000
Si 0.0000 0.0000 0.2603
Si 0.0000 0.0000 0.5436
Pb 0.0000 0.0000 0.7731

Results
The calculation puts the energy relative to the elements, uncorrected at 264 meV per atom. The density is 5.6 g/cm3. The distance to the lowest polymorph of the same formula comes out at 0.0000 eV/atom.

# 5
## Al2SiPb (PBE)

Data for a relaxed Al2SiPb crystal.

Cell: 3.194 5.106 10.208 Å, 90.00 90.00 90.00°
Space group Imm2 (No. 44)
One atom of each set of equivalent atoms:
Al 0.000 0.000 0.000
Al 0.000 0.500 0.261
Si 0.000 0.000 0.556
Pb 0.000 0.500 0.792

Results
The calculation puts the energy relative to the elements, uncorrected at 374 meV per atom. The density is 5.8 g/cm3. The distance to the lowest polymorph of the same formula comes out at 0.1767 eV/atom.

# 6
## Al2SiPb (PBE)

Data for a relaxed Al2SiPb crystal.

Cell: 4.603 4.603 3.896 Å, 90.00 90.00 90.00°
Space group P4/mmm (No. 123)
One atom of each set of equivalent atoms:
Al 0.000 0.500 0.000
Si 0.000 0.000 0.500
Pb 0.500 0.500 0.500

Results
The calculation puts the energy relative to the elements, uncorrected at 418 meV per atom. The density is 5.8 g/cm3. The distance to the lowest polymorph of the same formula comes out at 0.2207 eV/atom.

# 7
## AlSi2Pb (PBE)

Data for a relaxed AlSi2Pb crystal.

Cell: 4.932 4.978 6.614 Å, 90.00 90.00 90.00°
Space group Cmmm (No. 65)
One atom of each set of equivalent atoms:
Al 0.000 0.000 0.000
Si 0.000 0.500 0.179
Pb 0.000 0.000 0.500

Results
The calculation puts the energy relative to the elements, uncorrected at 326 meV per atom. The density is 5.9 g/cm3. The distance to the lowest polymorph of the same formula comes out at 0.0621 eV/atom.

# 8
## Al2SiPb (PBE)

Data for a relaxed Al2SiPb crystal.

Cell: 3.847 5.312 8.329 Å, 90.00 90.00 90.00°
Space group Immm (No. 71)
One atom of each set of equivalent atoms:
Al 0.000 0.000 0.211
Si 0.000 0.500 0.500
Pb 0.000 0.500 0.000

Results
The calculation puts the energy relative to the elements, uncorrected at 352 meV per atom. The density is 5.6 g/cm3. The distance to the lowest polymorph of the same formula comes out at 0.1551 eV/atom.